! PBE BaGe3Pt, optimized geometry; values from VASP
! Symmetry = Pm-3m (221)
! N(E_F) = 1.81 states/eV/f.u.
! Crystal system = cubic
! Formation enthalpy at 0 K = -0.06 eV/atom
&SYSTEM
  ibrav = 0, nat = 5, ntyp = 3
/
ATOMIC_SPECIES
Pt 195.08 Pt.upf
Ge 72.64 Ge.upf
Ba 137.33 Ba.upf
CELL_PARAMETERS angstrom
5.079 0.000 0.000
0.000 5.079 0.000
0.000 0.000 5.079
ATOMIC_POSITIONS angstrom
Pt 0.000 0.000 0.000
Ge 2.540 0.000 0.000
Ge 0.000 0.000 2.540
Ge 0.000 2.540 0.000
Ba 2.540 2.540 2.540

! PBE InTc2W, optimized geometry; values from VASP
! Symmetry = R3m (160)
! N(E_F) = 3.68 states/eV/f.u.
! Crystal system = trigonal
! Formation enthalpy at 0 K = 0.33 eV/atom
&SYSTEM
  ibrav = 0, nat = 4, ntyp = 3
/
ATOMIC_SPECIES
In 114.82 In.upf
Tc 98.00 Tc.upf
W 183.84 W.upf
CELL_PARAMETERS angstrom
9.474 0.009 0.005
9.041 2.832 0.005
9.041 1.387 2.469
ATOMIC_POSITIONS angstrom
In 20.613 3.162 1.854
Tc 27.403 4.204 2.465
Tc 6.973 1.070 0.627
W 13.903 2.133 1.251

! PBE TmSc4Tc, optimized geometry; values from VASP
! Symmetry = P4/mmm (123)
! N(E_F) = 10.43 states/eV/f.u.
! Crystal system = tetragonal
! Formation enthalpy at 0 K = -0.05 eV/atom
&SYSTEM
  ibrav = 0, nat = 6, ntyp = 3
/
ATOMIC_SPECIES
Tc 98.00 Tc.upf
Sc 44.96 Sc.upf
Tm 168.93 Tm.upf
CELL_PARAMETERS angstrom
-3.282 0.409 -0.293
-0.291 -3.121 -1.094
-1.551 -3.996 11.822
ATOMIC_POSITIONS angstrom
Tc -2.562 -3.355 5.218
Sc -2.078 -2.108 1.530
Sc -3.046 -4.601 8.906
Sc -0.591 -1.521 4.500
Sc -4.533 -5.188 5.936
Tm 0.000 0.000 0.000

! PBE ThMgHgPd, optimized geometry; values from VASP
! Symmetry = F-43m (216)
! N(E_F) = 2.70 states/eV/f.u.
! Crystal system = cubic
! Formation enthalpy at 0 K = -0.47 eV/atom
&SYSTEM
  ibrav = 0, nat = 4, ntyp = 4
/
ATOMIC_SPECIES
Pd 106.42 Pd.upf
Th 232.04 Th.upf
Hg 200.59 Hg.upf
Mg 24.30 Mg.upf
CELL_PARAMETERS angstrom
-0.389 4.476 2.334
-2.472 0.352 4.404
2.565 0.854 4.281
ATOMIC_POSITIONS angstrom
Pd 0.000 0.000 0.000
Th -0.074 1.420 2.755
Hg -0.148 2.841 5.509
Mg -0.222 4.261 8.264

no.,V (Å³/f.u.),total DFT energy (no corrections) (eV per atom)
1,131,-4.425
2,66,-8.773
3,139,-6.741
4,92,-4.100